Computed, not measured: an optimized crystal structure of DyPuRh at the PBE level of DFT.

Output
DOS at the Fermi energy   2.61 states/eV per atom
Magnetization   5.72 μB per formula unit
Symmetry   I4mm, No. 107
Formation enthalpy at 0 K   219.6 meV per atom
Polymorph energy (0 for the lowest one)   165 kJ/mol of formula units

Structure (CIF):
```
data_DyPuRh
_space_group_name_H-M_alt 'P 1'
_space_group_IT_number 1
_space_group_name_Hall 'P 1'
_cell_length_a 7.8509
_cell_length_b 7.8509
_cell_length_c 7.8509
_cell_angle_alpha 156.35
_cell_angle_beta 156.35
_cell_angle_gamma 33.69
loop_
_atom_site_label
_atom_site_fract_x
_atom_site_fract_y
_atom_site_fract_z
Dy1 0.0000 0.0000 0.0000
Pu1 0.2143 0.2143 0.0000
Rh1 0.8270 0.8270 0.0000
```


Computed, not measured: an optimized crystal structure of CoNi2H6 at the PBE level of DFT.

Output
DOS at the Fermi energy   0.53 states/eV per atom
Magnetization   0.00 μB per formula unit
Symmetry   P2_1/c, No. 14
Uncorrected energy   -4.239 eV/atom

Structure (CIF):
```
data_CoNi2H6
_space_group_name_H-M_alt 'P 1'
_space_group_IT_number 1
_space_group_name_Hall 'P 1'
_cell_length_a 4.4147
_cell_length_b 4.0415
_cell_length_c 6.8880
_cell_angle_alpha 90.00
_cell_angle_beta 118.00
_cell_angle_gamma 90.00
loop_
_atom_site_label
_atom_site_fract_x
_atom_site_fract_y
_atom_site_fract_z
Co1 0.0000 0.0000 0.0000
Co2 0.0000 0.5000 0.5000
Ni1 0.3337 0.0431 0.7821
Ni2 0.3337 0.4569 0.2821
Ni3 0.6663 0.5431 0.7179
Ni4 0.6663 0.9569 0.2179
H1 0.0054 0.1882 0.2189
H2 0.0054 0.3118 0.7189
H3 0.3124 0.7191 0.0940
H4 0.3124 0.7809 0.5940
H5 0.3444 0.2310 0.0640
H6 0.3444 0.2690 0.5640
H7 0.6556 0.7310 0.4360
H8 0.6556 0.7690 0.9360
H9 0.6876 0.2191 0.4060
H10 0.6876 0.2809 0.9060
H11 0.9946 0.6882 0.2811
H12 0.9946 0.8118 0.7811
```


Computed, not measured: an optimized crystal structure of Ba5InAu4 at the PBE level of DFT.

Output
DOS at the Fermi energy   0.98 states/eV per atom
Magnetization   0.00 μB per formula unit
Symmetry   P4/mmm, No. 123
Formation enthalpy at 0 K   -621.6 meV per atom

Structure (CIF):
```
data_Ba5InAu4
_space_group_name_H-M_alt 'P 1'
_space_group_IT_number 1
_space_group_name_Hall 'P 1'
_cell_length_a 4.0650
_cell_length_b 4.0650
_cell_length_c 20.6307
_cell_angle_alpha 90.00
_cell_angle_beta 90.00
_cell_angle_gamma 90.00
loop_
_atom_site_label
_atom_site_fract_x
_atom_site_fract_y
_atom_site_fract_z
Ba1 0.0000 0.0000 0.0000
Ba2 0.0000 0.0000 0.1949
Ba3 0.0000 0.0000 0.3899
Ba4 0.0000 0.0000 0.6101
Ba5 0.0000 0.0000 0.8051
In1 0.5000 0.5000 0.5000
Au1 0.5000 0.5000 0.0972
Au2 0.5000 0.5000 0.2921
Au3 0.5000 0.5000 0.7079
Au4 0.5000 0.5000 0.9028
```


Computed, not measured: an optimized crystal structure of AcNd2Ag4 at the PBE level of DFT.

Output
DOS at the Fermi energy   0.78 states/eV per atom
Magnetization   0.00 μB per formula unit
Symmetry   I4/mmm, No. 139
Formation enthalpy at 0 K   -55.6 meV per atom

Structure (CIF):
```
data_AcNd2Ag4
_space_group_name_H-M_alt 'P 1'
_space_group_IT_number 1
_space_group_name_Hall 'P 1'
_cell_length_a 6.5078
_cell_length_b 6.5078
_cell_length_c 6.5078
_cell_angle_alpha 105.10
_cell_angle_beta 105.10
_cell_angle_gamma 118.62
loop_
_atom_site_label
_atom_site_fract_x
_atom_site_fract_y
_atom_site_fract_z
Ac1 0.0000 0.0000 0.0000
Nd1 0.0000 0.5000 0.5000
Nd2 0.5000 0.0000 0.5000
Ag1 0.0000 0.0000 0.5000
Ag2 0.0000 0.5000 0.0000
Ag3 0.5000 0.0000 0.0000
Ag4 0.5000 0.5000 0.5000
```


Computed, not measured: an optimized crystal structure of SrAlHg4 at the PBE level of DFT.

Output
DOS at the Fermi energy   0.37 states/eV per atom
Magnetization   0.00 μB per formula unit
Symmetry   F-43m, No. 216
Formation enthalpy at 0 K   -64.9 meV per atom

Structure (CIF):
```
data_SrAlHg4
_space_group_name_H-M_alt 'P 1'
_space_group_IT_number 1
_space_group_name_Hall 'P 1'
_cell_length_a 6.1203
_cell_length_b 6.1203
_cell_length_c 6.1203
_cell_angle_alpha 60.00
_cell_angle_beta 60.00
_cell_angle_gamma 60.00
loop_
_atom_site_label
_atom_site_fract_x
_atom_site_fract_y
_atom_site_fract_z
Sr1 0.0000 0.0000 0.0000
Al1 0.7500 0.7500 0.7500
Hg1 0.3754 0.3754 0.3754
Hg2 0.3754 0.3754 0.8739
Hg3 0.3754 0.8739 0.3754
Hg4 0.8739 0.3754 0.3754
```


Computed, not measured: an optimized crystal structure of Ac2TlBi3Rh4 at the PBE level of DFT.

Output
DOS at the Fermi energy   0.82 states/eV per atom
Magnetization   0.00 μB per formula unit
Symmetry   P-4m2, No. 115
Formation enthalpy at 0 K   -475.1 meV per atom

Structure (CIF):
```
data_Ac2TlBi3Rh4
_space_group_name_H-M_alt 'P 1'
_space_group_IT_number 1
_space_group_name_Hall 'P 1'
_cell_length_a 4.7008
_cell_length_b 4.7008
_cell_length_c 11.1065
_cell_angle_alpha 90.00
_cell_angle_beta 90.00
_cell_angle_gamma 90.00
loop_
_atom_site_label
_atom_site_fract_x
_atom_site_fract_y
_atom_site_fract_z
Ac1 0.0000 0.5000 0.2468
Ac2 0.5000 0.0000 0.7532
Tl1 0.0000 0.0000 0.5000
Bi1 0.0000 0.5000 0.8743
Bi2 0.5000 0.0000 0.1257
Bi3 0.5000 0.5000 0.5000
Rh1 0.0000 0.0000 0.0000
Rh2 0.0000 0.5000 0.6350
Rh3 0.5000 0.0000 0.3650
Rh4 0.5000 0.5000 0.0000
```


Computed, not measured: an optimized crystal structure of Pm15NdEr4 at the PBE level of DFT.

Output
DOS at the Fermi energy   1.37 states/eV per atom
Magnetization   0.00 μB per formula unit
Symmetry   P4/mmm, No. 123
Formation enthalpy at 0 K   14.0 meV per atom

Structure (CIF):
```
data_Pm15NdEr4
_space_group_name_H-M_alt 'P 1'
_space_group_IT_number 1
_space_group_name_Hall 'P 1'
_cell_length_a 5.1274
_cell_length_b 5.1274
_cell_length_c 25.5521
_cell_angle_alpha 90.00
_cell_angle_beta 90.00
_cell_angle_gamma 90.00
loop_
_atom_site_label
_atom_site_fract_x
_atom_site_fract_y
_atom_site_fract_z
Pm1 0.0000 0.0000 0.0000
Pm2 0.0000 0.0000 0.2020
Pm3 0.0000 0.0000 0.4005
Pm4 0.0000 0.0000 0.5995
Pm5 0.0000 0.0000 0.7980
Pm6 0.0000 0.5000 0.1019
Pm7 0.0000 0.5000 0.3010
Pm8 0.0000 0.5000 0.5000
Pm9 0.0000 0.5000 0.6990
Pm10 0.0000 0.5000 0.8981
Pm11 0.5000 0.0000 0.1019
Pm12 0.5000 0.0000 0.3010
Pm13 0.5000 0.0000 0.5000
Pm14 0.5000 0.0000 0.6990
Pm15 0.5000 0.0000 0.8981
Nd1 0.5000 0.5000 0.0000
Er1 0.5000 0.5000 0.2016
Er2 0.5000 0.5000 0.4005
Er3 0.5000 0.5000 0.5995
Er4 0.5000 0.5000 0.7984
```


Computed, not measured: an optimized crystal structure of KMgO2F at the PBE level of DFT.

Output
DOS at the Fermi energy   0.42 states/eV per atom
Magnetization   2.00 μB per formula unit
Symmetry   P4/mmm, No. 123
Energy relative to the elements, uncorrected   -0.30 eV/atom

Structure (CIF):
```
data_KMgO2F
_space_group_name_H-M_alt 'P 1'
_space_group_IT_number 1
_space_group_name_Hall 'P 1'
_cell_length_a 4.5200
_cell_length_b 4.5200
_cell_length_c 4.5573
_cell_angle_alpha 90.00
_cell_angle_beta 90.00
_cell_angle_gamma 90.00
loop_
_atom_site_label
_atom_site_fract_x
_atom_site_fract_y
_atom_site_fract_z
K1 0.0000 0.0000 0.0000
Mg1 0.5000 0.5000 0.5000
O1 0.0000 0.5000 0.0000
O2 0.5000 0.0000 0.0000
F1 0.0000 0.0000 0.5000
```